[1]
{"formula": "La2ScInRe", "functional": "PBE", "state": "optimized geometry", "ef_ev_per_atom": 1.42, "final_energy_ev_per_cell": -24.29, "magnetic_moment_mub_per_cell": 0.02, "lattice": [[-5.290, -1.537, 1.833], [-0.064, -3.868, -3.429], [2.391, -3.532, 3.939]], "species": ["La", "In", "Sc", "Re", "La"], "frac_coords": [[0.500, 0.000, 0.000], [0.000, 0.000, 0.000], [0.000, 0.500, 0.000], [0.500, 0.500, 0.500], [0.000, 0.000, 0.500]]}

[2]
{"formula": "SrLa2InRe", "functional": "PBE", "state": "optimized geometry", "ef_ev_per_atom": 1.33, "final_energy_ev_per_cell": -20.05, "relative_energy_ev_per_fu": 6.32, "magnetic_moment_mub_per_cell": 2.65, "lattice": [[5.964, 0.000, 0.000], [0.000, 5.964, 0.000], [0.000, 0.000, 5.985]], "species": ["In", "La", "Sr", "La", "Re"], "frac_coords": [[0.000, 0.000, 0.000], [0.000, 0.500, 0.000], [0.000, 0.000, 0.500], [0.500, 0.000, 0.000], [0.500, 0.500, 0.500]]}

[3]
{"formula": "SrLa2InRe", "functional": "PBE", "state": "optimized geometry", "ef_ev_per_atom": 0.07, "final_energy_ev_per_cell": -26.37, "relative_energy_ev_per_fu": 0.00, "magnetic_moment_mub_per_cell": 0.00, "lattice": [[5.497, 0.000, 0.000], [0.000, 5.541, 0.000], [0.000, 0.000, 5.497]], "species": ["Sr", "In", "Re", "La", "La"], "frac_coords": [[0.500, 0.500, 0.500], [0.000, 0.500, 0.000], [0.000, 0.000, 0.000], [0.500, 0.000, 0.000], [0.000, 0.000, 0.500]]}

[4]
{"formula": "La2TlInRe", "functional": "PBE", "state": "optimized geometry", "ef_ev_per_atom": 0.89, "final_energy_ev_per_cell": -22.97, "magnetic_moment_mub_per_cell": 1.17, "lattice": [[5.938, 0.000, 0.000], [0.000, 4.998, 0.000], [0.000, 0.000, 5.938]], "species": ["Re", "Tl", "In", "La", "La"], "frac_coords": [[0.000, 0.500, 0.000], [0.500, 0.500, 0.500], [0.000, 0.000, 0.000], [0.500, 0.000, 0.000], [0.000, 0.000, 0.500]]}

[5]
{"formula": "LaZnInRe2", "functional": "PBE", "state": "optimized geometry", "ef_ev_per_atom": 2.35, "final_energy_ev_per_cell": -22.06, "magnetic_moment_mub_per_cell": 3.04, "lattice": [[4.949, 0.000, 0.000], [0.000, 6.045, 0.000], [0.000, 0.000, 4.949]], "species": ["In", "Re", "La", "Re", "Zn"], "frac_coords": [[0.000, 0.500, 0.000], [0.500, 0.000, 0.000], [0.000, 0.000, 0.000], [0.000, 0.000, 0.500], [0.500, 0.500, 0.500]]}

[6]
{"formula": "La3InRh8", "functional": "PBE", "state": "optimized geometry", "ef_ev_per_atom": -0.56, "final_energy_ev_per_cell": -83.06, "magnetic_moment_mub_per_cell": 0.00, "lattice": [[0.097, -2.082, 4.979], [3.416, -4.008, 1.184], [7.334, 3.922, 4.423]], "species": ["Rh", "Rh", "Rh", "La", "Rh", "La", "Rh", "Rh", "Rh", "La", "Rh", "In"], "frac_coords": [[0.938, 0.938, 0.683], [0.688, 0.688, 0.937], [0.437, 0.437, 0.191], [0.503, 0.503, 0.492], [0.936, 0.437, 0.191], [0.997, 0.997, 0.009], [0.188, 0.188, 0.436], [0.441, 0.938, 0.683], [0.437, 0.936, 0.191], [0.375, 0.375, 0.874], [0.938, 0.441, 0.683], [0.874, 0.874, 0.377]]}

[7]
{"formula": "La4In5Rh2", "functional": "PBE", "state": "optimized geometry", "ef_ev_per_atom": -0.60, "final_energy_ev_per_cell": -54.68, "magnetic_moment_mub_per_cell": 0.00, "lattice": [[-1.658, -3.251, -1.212], [-0.859, -2.367, 7.526], [-8.766, 4.571, -0.271]], "species": ["La", "Rh", "In", "La", "In", "La", "In", "In", "La", "Rh", "In"], "frac_coords": [[0.500, 0.173, 0.850], [0.000, 0.080, 0.645], [0.000, 0.184, 0.154], [0.500, 0.780, 0.555], [0.000, 0.500, 0.000], [0.500, 0.827, 0.150], [0.000, 0.454, 0.678], [0.000, 0.816, 0.846], [0.500, 0.220, 0.445], [0.000, 0.920, 0.355], [0.000, 0.546, 0.322]]}

[8]
{"formula": "LaIn5Rh6", "functional": "PBE", "state": "optimized geometry", "ef_ev_per_atom": -0.48, "final_energy_ev_per_cell": -68.53, "magnetic_moment_mub_per_cell": 0.00, "lattice": [[-0.192, 4.239, 1.746], [-6.429, -1.081, 1.918], [2.119, -0.291, 6.938]], "species": ["Rh", "In", "La", "In", "In", "Rh", "In", "In", "Rh", "Rh", "Rh", "Rh"], "frac_coords": [[0.172, 0.741, 0.657], [0.334, 0.500, 0.332], [0.000, 0.000, 0.000], [0.331, 0.000, 0.339], [0.669, 0.000, 0.661], [0.172, 0.259, 0.657], [0.000, 0.500, 0.000], [0.666, 0.500, 0.668], [0.828, 0.741, 0.343], [0.500, 0.732, 0.000], [0.828, 0.259, 0.343], [0.500, 0.268, 0.000]]}